Record 1
Material: NaHfMg3
Method: DFT, GGA-PBE
State: relaxed

Structure (CIF):
```
data_NaHfMg3
_cell_length_a 4.940
_cell_length_b 4.940
_cell_length_c 4.940
_cell_angle_alpha 90.00
_cell_angle_beta 90.00
_cell_angle_gamma 90.00
_space_group_name_H-M_alt 'P m -3 m'
_space_group_IT_number 221
_space_group_name_Hall '-P 4 2 3'
loop_
_atom_site_label
_atom_site_type_symbol
_atom_site_fract_x
_atom_site_fract_y
_atom_site_fract_z
Na1 Na 0.000 0.000 0.000
Hf1 Hf 0.500 0.500 0.500
Mg1 Mg 0.000 0.000 0.500
```

Summary:
- Total moment: 0.00 Bohr magnetons per cell
- Calculated density: 3.8 g/cm³
- Offset from the most stable computed form: 0.000 eV per atom
- Raw total energy: -2.30 eV per atom



Record 2
Material: Tl3Cr2PdSe6
Method: DFT, GGA-PBE
State: relaxed

Structure (CIF):
```
data_Tl3Cr2PdSe6
_cell_length_a 6.645
_cell_length_b 11.490
_cell_length_c 7.781
_cell_angle_alpha 90.00
_cell_angle_beta 106.27
_cell_angle_gamma 90.00
_space_group_name_H-M_alt 'C 1 2/m 1'
_space_group_IT_number 12
loop_
_space_group_symop_operation_xyz
'x,y,z'
'-x,-y,-z'
'-x,y,-z'
'x,-y,z'
'x+1/2,y+1/2,z'
'-x+1/2,-y+1/2,-z'
'-x+1/2,y+1/2,-z'
'x+1/2,-y+1/2,z'
loop_
_atom_site_label
_atom_site_type_symbol
_atom_site_fract_x
_atom_site_fract_y
_atom_site_fract_z
Tl1 Tl 0.000 0.000 0.000
Tl2 Tl 0.000 0.332 0.000
Cr1 Cr 0.000 0.167 0.500
Pd1 Pd 0.000 0.500 0.500
Se1 Se 0.221 0.000 0.680
Se2 Se 0.227 0.332 0.678
```

Summary:
- Total moment: 11.84 Bohr magnetons per cell
- Calculated density: 7.6 g/cm³
- Raw formation energy: -0.40 eV/atom
- Raw total energy: -4.77 eV per atom



Record 3
Material: Pm2Sm2Mg3
Method: DFT, GGA-PBE
State: relaxed

Structure (CIF):
```
data_Pm2Sm2Mg3
_cell_length_a 15.064
_cell_length_b 3.559
_cell_length_c 8.416
_cell_angle_alpha 90.00
_cell_angle_beta 110.97
_cell_angle_gamma 90.00
_space_group_name_H-M_alt 'C 1 2/m 1'
_space_group_IT_number 12
loop_
_space_group_symop_operation_xyz
'x,y,z'
'-x,-y,-z'
'-x,y,-z'
'x,-y,z'
'x+1/2,y+1/2,z'
'-x+1/2,-y+1/2,-z'
'-x+1/2,y+1/2,-z'
'x+1/2,-y+1/2,z'
loop_
_atom_site_label
_atom_site_type_symbol
_atom_site_fract_x
_atom_site_fract_y
_atom_site_fract_z
Pm1 Pm 0.144 0.000 0.418
Sm1 Sm 0.074 0.500 0.721
Mg1 Mg 0.000 0.000 0.000
Mg2 Mg 0.216 0.500 0.137
```

Summary:
- Total moment: 0.00 Bohr magnetons per cell
- Calculated density: 5.2 g/cm³
- Offset from the most stable computed form: 0.093 eV per atom
- Raw total energy: -3.38 eV per atom



Record 4
Material: RbTiTeN2
Method: DFT, GGA-PBE
State: relaxed

Structure (CIF):
```
data_RbTiTeN2
_cell_length_a 4.221
_cell_length_b 4.221
_cell_length_c 6.372
_cell_angle_alpha 90.00
_cell_angle_beta 90.00
_cell_angle_gamma 90.00
_space_group_name_H-M_alt 'P 4/m m m'
_space_group_IT_number 123
_space_group_name_Hall '-P 4 2'
loop_
_atom_site_label
_atom_site_type_symbol
_atom_site_fract_x
_atom_site_fract_y
_atom_site_fract_z
Rb1 Rb 0.000 0.000 0.000
Ti1 Ti 0.500 0.500 0.500
Te1 Te 0.000 0.000 0.500
N1 N 0.000 0.500 0.000
```

Summary:
- Total moment: 0.00 Bohr magnetons per cell
- Calculated density: 4.2 g/cm³
- Raw formation energy: 2.42 eV/atom
- Offset from the most stable computed form: 2.023 eV per atom
- Raw total energy: -3.31 eV per atom



Record 5
Material: CeTeIO4
Method: DFT, GGA-PBE
State: relaxed

Structure (CIF):
```
data_CeTeIO4
_cell_length_a 12.784
_cell_length_b 7.041
_cell_length_c 6.680
_cell_angle_alpha 90.00
_cell_angle_beta 92.39
_cell_angle_gamma 90.00
_space_group_name_H-M_alt 'C 1 2/m 1'
_space_group_IT_number 12
loop_
_space_group_symop_operation_xyz
'x,y,z'
'-x,-y,-z'
'-x,y,-z'
'x,-y,z'
'x+1/2,y+1/2,z'
'-x+1/2,-y+1/2,-z'
'-x+1/2,y+1/2,-z'
'x+1/2,-y+1/2,z'
loop_
_atom_site_label
_atom_site_type_symbol
_atom_site_fract_x
_atom_site_fract_y
_atom_site_fract_z
Ce1 Ce 0.233 0.000 0.150
Te1 Te 0.148 0.000 0.645
I1 I 0.058 0.500 0.177
O1 O 0.096 0.000 0.251
O2 O 0.187 0.193 0.838
O3 O 0.226 0.500 0.496
```

Summary:
- Total moment: 0.00 Bohr magnetons per cell
- Calculated density: 5.1 g/cm³
- Raw formation energy: -1.73 eV/atom
- Raw total energy: -6.08 eV per atom



Record 6
Material: Cd2TcOs
Method: DFT, GGA-PBE
State: relaxed

Structure (CIF):
```
data_Cd2TcOs
_cell_length_a 2.753
_cell_length_b 2.753
_cell_length_c 9.031
_cell_angle_alpha 90.00
_cell_angle_beta 90.00
_cell_angle_gamma 90.00
_space_group_name_H-M_alt 'P 4/m m m'
_space_group_IT_number 123
_space_group_name_Hall '-P 4 2'
loop_
_atom_site_label
_atom_site_type_symbol
_atom_site_fract_x
_atom_site_fract_y
_atom_site_fract_z
Cd1 Cd 0.000 0.000 0.248
Tc1 Tc 0.500 0.500 0.500
Os1 Os 0.500 0.500 0.000
```

Summary:
- Total moment: 0.00 Bohr magnetons per cell
- Calculated density: 12.4 g/cm³
- Offset from the most stable computed form: 0.574 eV per atom
- Raw total energy: -5.12 eV per atom



Question: Look up the raw total energy of the first one.
Answer: -2.30 eV per atom



Question: Among the records above, which one has the lowest raw total energy?
Answer: CeTeIO4



Question: The lowest calculated density belongs to which entry?
Answer: NaHfMg3